The following is a DFT calculation (PBE-GGA) of a relaxed structure of CaIrN3.

```
5
Lattice="3.895 0.000 0.000 0.000 3.895 0.000 0.000 0.000 3.895" Properties=species:S:1:pos:R:3 pbc="T T T"
Ca 0.000 0.000 0.000
Ir 1.947 1.947 1.947
N 0.000 1.947 1.947
N 1.947 0.000 1.947
N 1.947 1.947 0.000
```

Computed properties:
- ΔE_f (raw) (eV per atom) = 0.46

***

The following is a DFT calculation (PBE-GGA) of a relaxed structure of Nd2Al3In.

```
12
Lattice="0.000 4.676 8.097 3.790 0.000 8.097 3.790 4.676 0.000" Properties=species:S:1:pos:R:3 pbc="T T T"
Nd 1.895 2.338 4.049
Nd 5.685 4.676 8.097
Nd 1.894 4.676 8.097
Nd 5.685 7.014 12.146
Al 3.790 4.676 2.643
Al 3.790 2.289 6.774
Al 3.790 2.289 9.421
Al 3.790 7.064 6.774
Al 3.790 7.064 9.421
Al 3.790 4.676 13.552
In 3.790 4.676 5.397
In 3.790 4.676 10.798
```

Computed properties:
- electronic total energy (eV/atom) = -4.38

***

The following is a DFT calculation (PBE-GGA) of a relaxed structure of Pm3Sm2ThS6.

```
12
Lattice="8.767 -2.013 0.000 8.767 2.013 0.000 -1.850 0.000 7.848" Properties=species:S:1:pos:R:3 pbc="T T T"
Pm 0.000 0.000 0.000
Pm 4.628 0.000 5.226
Pm 11.055 0.000 2.623
Sm 5.548 0.000 1.324
Sm 10.135 0.000 6.524
Th -0.925 0.000 3.924
S 2.794 0.000 0.644
S 1.857 0.000 4.595
S 8.299 0.000 1.945
S 7.384 0.000 5.903
S 13.826 0.000 3.254
S 12.889 0.000 7.204
```

Computed properties:
- ΔE_f (raw) (eV per atom) = -1.99

***

The following is a DFT calculation (PBE-GGA) of a relaxed structure of La4P3PtRh12.

```
20
Lattice="-4.589 4.589 4.589 4.589 -4.589 4.589 4.589 4.589 -4.589" Properties=species:S:1:pos:R:3 pbc="T T T"
La 2.294 2.294 -2.294
La 2.294 -2.294 2.294
La -2.294 2.294 2.294
La 2.294 2.294 2.294
P 4.589 0.000 0.000
P 0.000 4.589 0.000
P 0.000 0.000 4.589
Pt 0.000 0.000 0.000
Rh 2.486 0.000 0.000
Rh 6.691 0.000 0.000
Rh 4.589 2.294 0.000
Rh 4.589 0.000 2.294
Rh 0.000 2.486 0.000
Rh 0.000 0.000 2.486
Rh 2.294 4.589 0.000
Rh 2.294 0.000 4.589
Rh 0.000 6.691 0.000
Rh 0.000 0.000 6.691
Rh 0.000 4.589 2.294
Rh 0.000 2.294 4.589
```

Computed properties:
- electronic total energy (eV/atom) = -7.05

***

The following is a DFT calculation (PBE-GGA) of a relaxed structure of CaScH6Ir2.

```
20
Lattice="3.772 -4.542 0.000 3.772 4.542 0.000 -1.945 0.000 5.625" Properties=species:S:1:pos:R:3 pbc="T T T"
Ca 2.313 3.085 4.218
Ca 3.286 -3.085 1.406
Sc 3.286 0.920 1.406
Sc 2.313 -0.920 4.218
H 1.664 2.186 2.125
H 1.340 0.033 0.391
H 0.367 -0.033 3.203
H 1.548 0.960 4.963
H 4.908 2.186 0.687
H 3.078 0.960 3.474
H 2.521 -0.960 2.151
H 0.692 -2.186 4.938
H 4.051 -0.960 0.661
H 5.232 0.033 2.422
H 4.260 -0.033 5.234
H 3.935 -2.186 3.499
Ir -0.110 1.174 4.637
Ir 0.863 -1.174 1.825
Ir 4.736 1.174 3.800
Ir 5.709 -1.174 0.988
```

Computed properties:
- electronic total energy (eV/atom) = -5.07

***

The following is a DFT calculation (PBE-GGA) of a relaxed structure of OsRh2Cl.

```
4
Lattice="0.000 3.094 3.094 3.094 0.000 3.094 3.094 3.094 0.000" Properties=species:S:1:pos:R:3 pbc="T T T"
Os 0.000 0.000 0.000
Rh 3.094 3.094 3.094
Rh 4.641 4.641 4.641
Cl 1.547 1.547 1.547
```

Computed properties:
- distance to the lowest polymorph of the same formula (eV/atom) = 0.661
- ΔE_f (raw) (eV per atom) = 0.94

***

The following is a DFT calculation (PBE-GGA) of a relaxed structure of HfCdFe2Ir.

```
5
Lattice="4.398 0.000 0.000 0.000 4.398 0.000 0.000 0.000 5.207" Properties=species:S:1:pos:R:3 pbc="T T T"
Hf 0.000 0.000 0.000
Cd 0.000 0.000 2.603
Fe 0.000 2.199 0.000
Fe 2.199 0.000 0.000
Ir 2.199 2.199 2.603
```

Computed properties:
- electronic total energy (eV/atom) = -5.55

***

The following is a DFT calculation (PBE-GGA) of a relaxed structure of CaTbLu2.

```
4
Lattice="3.577 0.000 0.000 0.000 3.577 0.000 0.000 0.000 10.262" Properties=species:S:1:pos:R:3 pbc="T T T"
Ca 0.000 0.000 0.000
Tb 0.000 0.000 5.131
Lu 1.789 1.789 2.779
Lu 1.789 1.789 7.483
```

Computed properties:
- distance to the lowest polymorph of the same formula (eV/atom) = 0.000